## Pm6Ru2AuCl3 (GGA-PBE)

Data for Pm6Ru2AuCl3 after structural relaxation.

Cell and atoms, written as CIF:
```
data_Pm6Ru2AuCl3
_chemical_formula_sum 'Pm6 Ru2 Au1 Cl3'
_cell_length_a 7.1196
_cell_length_b 7.1196
_cell_length_c 7.9130
_cell_angle_alpha 98.44
_cell_angle_beta 98.44
_cell_angle_gamma 120.14
_space_group_name_H-M_alt 'P 1'
_space_group_IT_number 1
loop_
_space_group_symop_operation_xyz
'x,y,z'
loop_
_atom_site_label
_atom_site_fract_x
_atom_site_fract_y
_atom_site_fract_z
Pm1 0.0752 0.4319 0.7927
Pm2 0.2097 0.2097 0.2065
Pm3 0.4319 0.0752 0.7927
Pm4 0.5681 0.9248 0.2073
Pm5 0.7903 0.7903 0.7935
Pm6 0.9248 0.5681 0.2073
Ru1 0.1664 0.8336 0.0000
Ru2 0.8336 0.1664 0.0000
Au1 0.5000 0.5000 0.0000
Cl1 0.0000 0.0000 0.5000
Cl2 0.3244 0.6756 0.5000
Cl3 0.6756 0.3244 0.5000
```

Values from the calculation:
Symmetry: C2/m
Formation energy from raw total energies (eV/atom): -1.00

=====

## BeTe2Pt (GGA-PBE)

Data for BeTe2Pt after structural relaxation.

Cell and atoms, written as CIF:
```
data_BeTe2Pt
_chemical_formula_sum 'Be1 Te2 Pt1'
_cell_length_a 6.6765
_cell_length_b 6.6765
_cell_length_c 6.6765
_cell_angle_alpha 147.11
_cell_angle_beta 146.80
_cell_angle_gamma 47.43
_space_group_name_H-M_alt 'P 1'
_space_group_IT_number 1
loop_
_space_group_symop_operation_xyz
'x,y,z'
loop_
_atom_site_label
_atom_site_fract_x
_atom_site_fract_y
_atom_site_fract_z
Be1 0.0000 0.0000 0.0000
Te1 0.4281 0.4281 0.0000
Te2 0.7016 0.2016 0.5000
Pt1 0.0984 0.5984 0.5000
```

Values from the calculation:
Symmetry: Imm2
Formation energy from raw total energies (eV/atom): 0.03

=====

## ZnSbAsSe2 (GGA-PBE)

Data for ZnSbAsSe2 after structural relaxation.

Cell and atoms, written as CIF:
```
data_ZnSbAsSe2
_chemical_formula_sum 'Zn1 Sb1 As1 Se2'
_cell_length_a 5.2920
_cell_length_b 5.2920
_cell_length_c 5.4084
_cell_angle_alpha 90.00
_cell_angle_beta 90.00
_cell_angle_gamma 90.00
_space_group_name_H-M_alt 'P 1'
_space_group_IT_number 1
loop_
_space_group_symop_operation_xyz
'x,y,z'
loop_
_atom_site_label
_atom_site_fract_x
_atom_site_fract_y
_atom_site_fract_z
Zn1 0.0000 0.0000 0.0000
Sb1 0.5000 0.5000 0.5000
As1 0.5000 0.5000 0.0000
Se1 0.0000 0.5000 0.5000
Se2 0.5000 0.0000 0.5000
```

Values from the calculation:
Symmetry: P4/mmm
Offset from the most stable computed form (eV/atom): 0.255
Formation energy from raw total energies (eV/atom): 0.67

=====

## TaAsO5 (GGA-PBE)

Data for TaAsO5 after structural relaxation.

Cell and atoms, written as CIF:
```
data_TaAsO5
_chemical_formula_sum 'Ta4 As4 O20'
_cell_length_a 11.8030
_cell_length_b 5.5690
_cell_length_c 6.9548
_cell_angle_alpha 90.00
_cell_angle_beta 90.00
_cell_angle_gamma 90.00
_space_group_name_H-M_alt 'P 1'
_space_group_IT_number 1
loop_
_space_group_symop_operation_xyz
'x,y,z'
loop_
_atom_site_label
_atom_site_fract_x
_atom_site_fract_y
_atom_site_fract_z
Ta1 0.0589 0.2500 0.1605
Ta2 0.4411 0.7500 0.6605
Ta3 0.5589 0.2500 0.3395
Ta4 0.9411 0.7500 0.8395
As1 0.1538 0.7500 0.4721
As2 0.3462 0.2500 0.9721
As3 0.6538 0.7500 0.0279
As4 0.8462 0.2500 0.5279
O1 0.0000 0.0000 0.0000
O2 0.0000 0.5000 0.0000
O3 0.0857 0.7500 0.6884
O4 0.1230 0.0029 0.3474
O5 0.1230 0.4971 0.3474
O6 0.2042 0.2500 0.0178
O7 0.2958 0.7500 0.5178
O8 0.3770 0.5029 0.8474
O9 0.3770 0.9971 0.8474
O10 0.4143 0.2500 0.1884
O11 0.5000 0.0000 0.5000
O12 0.5000 0.5000 0.5000
O13 0.5857 0.7500 0.8116
O14 0.6230 0.0029 0.1526
O15 0.6230 0.4971 0.1526
O16 0.7042 0.2500 0.4822
O17 0.7958 0.7500 0.9822
O18 0.8770 0.5029 0.6526
O19 0.8770 0.9971 0.6526
O20 0.9143 0.2500 0.3116
```

Values from the calculation:
Symmetry: Pnma
Offset from the most stable computed form (eV/atom): 0.000
Formation energy from raw total energies (eV/atom): -2.03

=====

## TmTlBi2 (GGA-PBE)

Data for TmTlBi2 after structural relaxation.

Cell and atoms, written as CIF:
```
data_TmTlBi2
_chemical_formula_sum 'Tm1 Tl1 Bi2'
_cell_length_a 4.2250
_cell_length_b 4.2250
_cell_length_c 6.7315
_cell_angle_alpha 90.00
_cell_angle_beta 90.00
_cell_angle_gamma 90.00
_space_group_name_H-M_alt 'P 1'
_space_group_IT_number 1
loop_
_space_group_symop_operation_xyz
'x,y,z'
loop_
_atom_site_label
_atom_site_fract_x
_atom_site_fract_y
_atom_site_fract_z
Tm1 0.0000 0.0000 0.0000
Tl1 0.0000 0.0000 0.5000
Bi1 0.5000 0.5000 0.2327
Bi2 0.5000 0.5000 0.7673
```

Values from the calculation:
Symmetry: P4/mmm
Offset from the most stable computed form (eV/atom): 0.000
DFT formation energy (eV per atom): -0.3285

=====

## Dy4TlCu (GGA-PBE)

Data for Dy4TlCu after structural relaxation.

Cell and atoms, written as CIF:
```
data_Dy4TlCu
_chemical_formula_sum 'Dy8 Tl2 Cu2'
_cell_length_a 7.2379
_cell_length_b 7.4848
_cell_length_c 6.6750
_cell_angle_alpha 90.00
_cell_angle_beta 95.83
_cell_angle_gamma 90.00
_space_group_name_H-M_alt 'P 1'
_space_group_IT_number 1
loop_
_space_group_symop_operation_xyz
'x,y,z'
loop_
_atom_site_label
_atom_site_fract_x
_atom_site_fract_y
_atom_site_fract_z
Dy1 0.1443 0.1675 0.1725
Dy2 0.1443 0.3325 0.6725
Dy3 0.3270 0.6450 0.0870
Dy4 0.3270 0.8550 0.5870
Dy5 0.6730 0.1450 0.4130
Dy6 0.6730 0.3550 0.9130
Dy7 0.8557 0.6675 0.3275
Dy8 0.8557 0.8325 0.8275
Tl1 0.5000 0.0000 0.0000
Tl2 0.5000 0.5000 0.5000
Cu1 0.0000 0.0000 0.5000
Cu2 0.0000 0.5000 0.0000
```

Values from the calculation:
Symmetry: P2_1/c
Offset from the most stable computed form (eV/atom): 0.176
DFT formation energy (eV per atom): 0.0046

=====

## CsScTl2H (GGA-PBE)

Data for CsScTl2H after structural relaxation.

Cell and atoms, written as CIF:
```
data_CsScTl2H
_chemical_formula_sum 'Cs1 Sc1 Tl2 H1'
_cell_length_a 5.1348
_cell_length_b 5.1348
_cell_length_c 5.1785
_cell_angle_alpha 90.00
_cell_angle_beta 90.00
_cell_angle_gamma 90.00
_space_group_name_H-M_alt 'P 1'
_space_group_IT_number 1
loop_
_space_group_symop_operation_xyz
'x,y,z'
loop_
_atom_site_label
_atom_site_fract_x
_atom_site_fract_y
_atom_site_fract_z
Cs1 0.0000 0.0000 0.0000
Sc1 0.5000 0.5000 0.0000
Tl1 0.0000 0.5000 0.5000
Tl2 0.5000 0.0000 0.5000
H1 0.0000 0.0000 0.5000
```

Values from the calculation:
Symmetry: P4/mmm
Final energy (eV per cell): -13.07

=====

## PrPu4In15 (GGA-PBE)

Data for PrPu4In15 after structural relaxation.

Cell and atoms, written as CIF:
```
data_PrPu4In15
_chemical_formula_sum 'Pr1 Pu4 In15'
_cell_length_a 4.6684
_cell_length_b 4.6684
_cell_length_c 23.4012
_cell_angle_alpha 90.00
_cell_angle_beta 90.00
_cell_angle_gamma 90.00
_space_group_name_H-M_alt 'P 1'
_space_group_IT_number 1
loop_
_space_group_symop_operation_xyz
'x,y,z'
loop_
_atom_site_label
_atom_site_fract_x
_atom_site_fract_y
_atom_site_fract_z
Pr1 0.0000 0.0000 0.0000
Pu1 0.0000 0.0000 0.2018
Pu2 0.0000 0.0000 0.4007
Pu3 0.0000 0.0000 0.5993
Pu4 0.0000 0.0000 0.7982
In1 0.0000 0.5000 0.1032
In2 0.0000 0.5000 0.3016
In3 0.0000 0.5000 0.5000
In4 0.0000 0.5000 0.6984
In5 0.0000 0.5000 0.8968
In6 0.5000 0.0000 0.1032
In7 0.5000 0.0000 0.3016
In8 0.5000 0.0000 0.5000
In9 0.5000 0.0000 0.6984
In10 0.5000 0.0000 0.8968
In11 0.5000 0.5000 0.0000
In12 0.5000 0.5000 0.2019
In13 0.5000 0.5000 0.4006
In14 0.5000 0.5000 0.5994
In15 0.5000 0.5000 0.7981
```

Values from the calculation:
Symmetry: P4/mmm
DFT formation energy (eV per atom): -0.2684

=====

## U4ReTc4 (GGA-PBE)

Data for U4ReTc4 after structural relaxation.

Cell and atoms, written as CIF:
```
data_U4ReTc4
_chemical_formula_sum 'U8 Re2 Tc8'
_cell_length_a 7.5942
_cell_length_b 7.5942
_cell_length_c 6.2529
_cell_angle_alpha 90.00
_cell_angle_beta 90.00
_cell_angle_gamma 90.00
_space_group_name_H-M_alt 'P 1'
_space_group_IT_number 1
loop_
_space_group_symop_operation_xyz
'x,y,z'
loop_
_atom_site_label
_atom_site_fract_x
_atom_site_fract_y
_atom_site_fract_z
U1 0.0525 0.2500 0.0699
U2 0.2500 0.0525 0.5699
U3 0.2500 0.4475 0.5699
U4 0.4475 0.2500 0.0699
U5 0.5525 0.7500 0.9301
U6 0.7500 0.5525 0.4301
U7 0.7500 0.9475 0.4301
U8 0.9475 0.7500 0.9301
Re1 0.2500 0.7500 0.7500
Re2 0.7500 0.2500 0.2500
Tc1 0.0124 0.7500 0.4051
Tc2 0.2500 0.5124 0.0949
Tc3 0.2500 0.9876 0.0949
Tc4 0.4876 0.7500 0.4051
Tc5 0.5124 0.2500 0.5949
Tc6 0.7500 0.0124 0.9051
Tc7 0.7500 0.4876 0.9051
Tc8 0.9876 0.2500 0.5949
```

Values from the calculation:
Symmetry: P4_2/nmc
DFT formation energy (eV per atom): 0.2825

=====

## TaHg3F (GGA-PBE)

Data for TaHg3F after structural relaxation.

Cell and atoms, written as CIF:
```
data_TaHg3F
_chemical_formula_sum 'Ta1 Hg3 F1'
_cell_length_a 5.4559
_cell_length_b 5.4559
_cell_length_c 5.4559
_cell_angle_alpha 90.00
_cell_angle_beta 90.00
_cell_angle_gamma 90.00
_space_group_name_H-M_alt 'P 1'
_space_group_IT_number 1
loop_
_space_group_symop_operation_xyz
'x,y,z'
loop_
_atom_site_label
_atom_site_fract_x
_atom_site_fract_y
_atom_site_fract_z
Ta1 0.0000 0.0000 0.0000
Hg1 0.0000 0.0000 0.5000
Hg2 0.0000 0.5000 0.0000
Hg3 0.5000 0.0000 0.0000
F1 0.5000 0.5000 0.5000
```

Values from the calculation:
Symmetry: Pm-3m
Offset from the most stable computed form (eV/atom): 0.008
Formation energy from raw total energies (eV/atom): 0.56

=====

## SmTiCu2 (GGA-PBE)

Data for SmTiCu2 after structural relaxation.

Cell and atoms, written as CIF:
```
data_SmTiCu2
_chemical_formula_sum 'Sm1 Ti1 Cu2'
_cell_length_a 3.2470
_cell_length_b 3.2470
_cell_length_c 6.8571
_cell_angle_alpha 90.00
_cell_angle_beta 90.00
_cell_angle_gamma 90.00
_space_group_name_H-M_alt 'P 1'
_space_group_IT_number 1
loop_
_space_group_symop_operation_xyz
'x,y,z'
loop_
_atom_site_label
_atom_site_fract_x
_atom_site_fract_y
_atom_site_fract_z
Sm1 0.0000 0.0000 0.0000
Ti1 0.0000 0.0000 0.5000
Cu1 0.5000 0.5000 0.3063
Cu2 0.5000 0.5000 0.6937
```

Values from the calculation:
Symmetry: P4/mmm
DFT formation energy (eV per atom): -0.0563

=====

## LiInAgSn (GGA-PBE)

Data for LiInAgSn after structural relaxation.

Cell and atoms, written as CIF:
```
data_LiInAgSn
_chemical_formula_sum 'Li1 In1 Ag1 Sn1'
_cell_length_a 5.2855
_cell_length_b 5.2855
_cell_length_c 4.4278
_cell_angle_alpha 113.29
_cell_angle_beta 113.29
_cell_angle_gamma 49.14
_space_group_name_H-M_alt 'P 1'
_space_group_IT_number 1
loop_
_space_group_symop_operation_xyz
'x,y,z'
loop_
_atom_site_label
_atom_site_fract_x
_atom_site_fract_y
_atom_site_fract_z
Li1 0.0000 0.0000 0.0000
In1 0.7501 0.7501 0.2495
Ag1 0.4999 0.4999 0.4991
Sn1 0.2497 0.2497 0.7509
```

Values from the calculation:
Symmetry: Cm
Offset from the most stable computed form (eV/atom): 0.000
DFT formation energy (eV per atom): -0.1438